No. 1
Below is KLiNd2Cl8 after structural relaxation, with properties calculated at the PBE level.

Unit cell a=6.7299 b=6.6960 c=8.5875 alpha=90.00 beta=90.00 gamma=83.79
Closest atoms and distances in Å follow each position.
Fractional positions:
K (0.0000, 0.0000, 0.5000)  6 Cl 3.04-3.25
Li (0.0000, 0.0000, 0.0000)  4 Cl 2.57
Nd (0.5000, 0.5000, 0.7577)  6 Cl 2.70-2.82
Nd (0.5000, 0.5000, 0.2423)  6 Cl 2.70-2.82
Cl (0.1953, 0.7949, 0.2137)  1 Li 2.57, 1 Nd 2.70
Cl (0.6805, 0.6906, 0.0000)  2 Nd 2.79
Cl (0.8047, 0.2051, 0.2137)  1 Li 2.57, 1 Nd 2.70
Cl (0.8047, 0.2051, 0.7863)  1 Li 2.57, 1 Nd 2.70
Cl (0.3195, 0.3094, 0.0000)  2 Nd 2.79
Cl (0.1953, 0.7949, 0.7863)  1 Li 2.57, 1 Nd 2.70
Cl (0.6688, 0.6808, 0.5000)  2 Nd 2.82
Cl (0.3312, 0.3192, 0.5000)  2 Nd 2.82

=====

No. 2
Below is K2LiNiCl6 after structural relaxation, with properties calculated at the PBE level.

Unit cell a=6.8817 b=6.8817 c=12.4278 alpha=73.93 beta=73.93 gamma=60.00
Closest atoms and distances in Å follow each position.
Fractional positions:
K (0.8776, 0.8776, 0.3673)  12 Cl 3.45-3.58
K (0.1224, 0.1224, 0.6327)  12 Cl 3.45-3.58
K (0.7004, 0.7004, 0.8989)  9 Cl 3.30-3.45
K (0.2996, 0.2996, 0.1011)  9 Cl 3.30-3.45
Li (0.5848, 0.5848, 0.2456)  6 Cl 2.50-2.57
Li (0.4152, 0.4152, 0.7544)  6 Cl 2.50-2.57
Ni (0.0000, 0.0000, 0.0000)  6 Cl 2.34
Ni (0.5000, 0.5000, 0.5000)  6 Cl 2.30
Cl (0.8525, 0.3806, 0.3863)  1 Ni 2.30, 1 Li 2.50
Cl (0.3806, 0.8525, 0.3863)  1 Ni 2.30, 1 Li 2.50
Cl (0.3806, 0.3806, 0.3863)  1 Ni 2.30, 1 Li 2.50
Cl (0.1475, 0.6194, 0.6137)  1 Ni 2.30, 1 Li 2.50
Cl (0.6194, 0.1475, 0.6137)  1 Ni 2.30, 1 Li 2.50
Cl (0.6194, 0.6194, 0.6137)  1 Ni 2.30, 1 Li 2.50
Cl (0.7206, 0.1980, 0.8835)  1 Ni 2.34, 1 Li 2.57
Cl (0.1980, 0.7206, 0.8835)  1 Ni 2.34, 1 Li 2.57
Cl (0.1980, 0.1980, 0.8835)  1 Ni 2.34, 1 Li 2.57
Cl (0.2794, 0.8020, 0.1165)  1 Ni 2.34, 1 Li 2.57
Cl (0.8020, 0.2794, 0.1165)  1 Ni 2.34, 1 Li 2.57
Cl (0.8020, 0.8020, 0.1165)  1 Ni 2.34, 1 Li 2.57

=====

The following M_tot values (in μB/cell) correspond, in order, to the records above: 0.00, 2.01.
The following uncorrected formation energy values (in eV per atom) correspond, in order, to the records above: -2.114, -1.326.